Entry 1:
{
  "formula": "YTl2Cl",
  "functional": "PBEsol",
  "state": "relaxed",
  "polymorph_energy_mev_per_atom": 0,
  "raw_formation_energy_kj_per_mol_atoms": -63.0,
  "cell": [[-3.196, 1.025, 1.310], [-1.634, -4.495, -0.469], [3.449, -1.758, 4.838]],
  "species": ["Y", "Tl", "Tl", "Cl"],
  "fractional_positions": [[0.804, 0.000, 0.607], [0.068, 0.000, 0.137], [0.430, 0.500, 0.860], [0.700, 0.500, 0.399]]
}

=====

Entry 2:
{
  "formula": "KFeRe",
  "functional": "PBEsol",
  "state": "relaxed",
  "formation_energy_ev_per_atom": 1.050,
  "cell": [[-2.012, 1.169, -1.352], [-0.927, -1.398, 2.105], [2.128, 6.451, 4.122]],
  "species": ["Fe", "K", "Re"],
  "fractional_positions": [[0.977, 0.977, 0.955], [0.666, 0.666, 0.332], [0.356, 0.356, 0.713]]
}

=====

Entry 3:
{
  "formula": "Li2LaTa2O7",
  "functional": "PBEsol",
  "state": "relaxed",
  "raw_formation_energy_kj_per_mol_atoms": -273.5,
  "cell": [[3.961, 0.000, 0.000], [0.000, 3.961, 0.000], [-1.981, -1.981, 9.110]],
  "species": ["La", "Li", "Li", "O", "O", "O", "O", "O", "O", "O", "Ta", "Ta"],
  "fractional_positions": [[0.000, 0.000, 0.000], [0.250, 0.750, 0.500], [0.750, 0.250, 0.500], [0.403, 0.903, 0.806], [0.717, 0.717, 0.435], [0.097, 0.597, 0.194], [0.597, 0.097, 0.194], [0.283, 0.283, 0.565], [0.903, 0.403, 0.806], [0.500, 0.500, 0.000], [0.386, 0.386, 0.773], [0.614, 0.614, 0.227]]
}

=====

| no. | total magnetization (μB/f.u.) |
| --- | --- |
| 1 | 0.0 |
| 2 | 2.4 |
| 3 | 0.0 |